[1]
VASP calculation (PBE) on a relaxed ThZrCuAu crystal.

The density of states at the Fermi level comes out at 17.27 states/eV per cell. For the calculated total energy, the calculation gives -6.0456 eV/atom. For the energy of formation from the pure elements, the calculation gives -0.21 eV per atom. The calculation puts the volume at 353 Å³/cell.

The structure in CIF format:
```
data_ThZrCuAu
_chemical_formula_sum 'Th4 Zr4 Cu4 Au4'
_cell_length_a 7.0706
_cell_length_b 7.0706
_cell_length_c 7.0706
_cell_angle_alpha 90.00
_cell_angle_beta 90.00
_cell_angle_gamma 90.00
_space_group_name_H-M_alt 'F -4 3 m'
_space_group_IT_number 216
_space_group_name_Hall 'F -4 2 3'
loop_
_atom_site_label
_atom_site_type_symbol
_atom_site_fract_x
_atom_site_fract_y
_atom_site_fract_z
Th1 Th 0.0000 0.0000 0.0000
Zr1 Zr 0.0000 0.0000 0.5000
Cu1 Cu 0.2500 0.2500 0.7500
Au1 Au 0.2500 0.2500 0.2500
```



[2]
VASP calculation (PBE) on a relaxed TiCu3Au crystal.

The density of states at the Fermi level comes out at 2.97 states/eV per cell. For the calculated total energy, the calculation gives -3.4775 eV/atom. For the energy of formation from the pure elements, the calculation gives 1.21 eV per atom. The calculation puts the volume at 96 Å³/cell. Its energy relative to the lowest polymorph listed for this composition is 1.12 eV per formula unit.

The structure in CIF format:
```
data_TiCu3Au
_chemical_formula_sum 'Ti1 Cu3 Au1'
_cell_length_a 4.5858
_cell_length_b 4.5858
_cell_length_c 4.5858
_cell_angle_alpha 90.00
_cell_angle_beta 90.00
_cell_angle_gamma 90.00
_space_group_name_H-M_alt 'P m -3 m'
_space_group_IT_number 221
_space_group_name_Hall '-P 4 2 3'
loop_
_atom_site_label
_atom_site_type_symbol
_atom_site_fract_x
_atom_site_fract_y
_atom_site_fract_z
Ti1 Ti 0.0000 0.0000 0.0000
Cu1 Cu 0.0000 0.0000 0.5000
Au1 Au 0.5000 0.5000 0.5000
```



[3]
VASP calculation (PBE) on a relaxed TiCuAu2 crystal.

The density of states at the Fermi level comes out at 18.66 states/eV per cell. For the calculated total energy, the calculation gives -4.5014 eV/atom. For the energy of formation from the pure elements, the calculation gives 0.14 eV per atom. The calculation puts the volume at 285 Å³/cell.

The structure in CIF format:
```
data_TiCuAu2
_chemical_formula_sum 'Ti4 Cu4 Au8'
_cell_length_a 7.2386
_cell_length_b 7.2386
_cell_length_c 5.4432
_cell_angle_alpha 90.00
_cell_angle_beta 90.00
_cell_angle_gamma 90.00
_space_group_name_H-M_alt 'I -4 2 d'
_space_group_IT_number 122
_space_group_name_Hall 'I -4 2bw'
loop_
_atom_site_label
_atom_site_type_symbol
_atom_site_fract_x
_atom_site_fract_y
_atom_site_fract_z
Ti1 Ti 0.0000 0.0000 0.0000
Cu1 Cu 0.0000 0.0000 0.5000
Au1 Au 0.2379 0.2500 0.6250
```



[4]
VASP calculation (PBE) on a relaxed TiCuAu crystal.

The density of states at the Fermi level comes out at 3.12 states/eV per cell. For the calculated total energy, the calculation gives -5.3725 eV/atom. For the energy of formation from the pure elements, the calculation gives -0.28 eV per atom. The calculation puts the volume at 93 Å³/cell. Its energy relative to the lowest polymorph listed for this composition is 0.00 eV per formula unit.

The structure in CIF format:
```
data_TiCuAu
_chemical_formula_sum 'Ti2 Cu2 Au2'
_cell_length_a 3.3264
_cell_length_b 3.3264
_cell_length_c 8.3870
_cell_angle_alpha 90.00
_cell_angle_beta 90.00
_cell_angle_gamma 90.00
_space_group_name_H-M_alt 'I 4 m m'
_space_group_IT_number 107
_space_group_name_Hall 'I 4 -2'
loop_
_atom_site_label
_atom_site_type_symbol
_atom_site_fract_x
_atom_site_fract_y
_atom_site_fract_z
Ti1 Ti 0.0000 0.0000 0.0000
Cu1 Cu 0.0000 0.0000 0.6606
Au1 Au 0.0000 0.0000 0.3256
```



[5]
VASP calculation (PBE) on a relaxed Ti2CuAu crystal.

The density of states at the Fermi level comes out at 4.42 states/eV per cell. For the calculated total energy, the calculation gives -6.0086 eV/atom. For the energy of formation from the pure elements, the calculation gives -0.22 eV per atom. The calculation puts the volume at 62 Å³/cell.

The structure in CIF format:
```
data_Ti2CuAu
_chemical_formula_sum 'Ti2 Cu1 Au1'
_cell_length_a 3.9153
_cell_length_b 3.9153
_cell_length_c 4.0767
_cell_angle_alpha 90.00
_cell_angle_beta 90.00
_cell_angle_gamma 90.00
_space_group_name_H-M_alt 'P 4/m m m'
_space_group_IT_number 123
_space_group_name_Hall '-P 4 2'
loop_
_atom_site_label
_atom_site_type_symbol
_atom_site_fract_x
_atom_site_fract_y
_atom_site_fract_z
Ti1 Ti 0.0000 0.5000 0.0000
Cu1 Cu 0.0000 0.0000 0.5000
Au1 Au 0.5000 0.5000 0.5000
```



[6]
VASP calculation (PBE) on a relaxed Ti5Cu3Au3 crystal.

The density of states at the Fermi level comes out at 12.77 states/eV per cell. For the calculated total energy, the calculation gives -5.3867 eV/atom. For the energy of formation from the pure elements, the calculation gives 0.21 eV per atom. The calculation puts the volume at 190 Å³/cell.

The structure in CIF format:
```
data_Ti5Cu3Au3
_chemical_formula_sum 'Ti5 Cu3 Au3'
_cell_length_a 8.7370
_cell_length_b 8.7370
_cell_length_c 2.8767
_cell_angle_alpha 90.00
_cell_angle_beta 90.00
_cell_angle_gamma 120.00
_space_group_name_H-M_alt 'P -6 2 m'
_space_group_IT_number 189
_space_group_name_Hall 'P -6 -2'
loop_
_atom_site_label
_atom_site_type_symbol
_atom_site_fract_x
_atom_site_fract_y
_atom_site_fract_z
Ti1 Ti 0.0000 0.3376 0.0000
Ti2 Ti 0.3333 0.6667 0.0000
Cu1 Cu 0.0000 0.8432 0.0000
Au1 Au 0.0000 0.5986 0.5000
```



[7]
VASP calculation (PBE) on a relaxed Ti3CuAu crystal.

The density of states at the Fermi level comes out at 10.91 states/eV per cell. For the calculated total energy, the calculation gives -5.6856 eV/atom. For the energy of formation from the pure elements, the calculation gives 0.53 eV per atom. The calculation puts the volume at 95 Å³/cell. Its energy relative to the lowest polymorph listed for this composition is 0.00 eV per formula unit.

The structure in CIF format:
```
data_Ti3CuAu
_chemical_formula_sum 'Ti3 Cu1 Au1'
_cell_length_a 4.5602
_cell_length_b 4.5602
_cell_length_c 4.5602
_cell_angle_alpha 90.00
_cell_angle_beta 90.00
_cell_angle_gamma 90.00
_space_group_name_H-M_alt 'P m -3 m'
_space_group_IT_number 221
_space_group_name_Hall '-P 4 2 3'
loop_
_atom_site_label
_atom_site_type_symbol
_atom_site_fract_x
_atom_site_fract_y
_atom_site_fract_z
Ti1 Ti 0.0000 0.0000 0.5000
Cu1 Cu 0.0000 0.0000 0.0000
Au1 Au 0.5000 0.5000 0.5000
```



[8]
VASP calculation (PBE) on a relaxed TiCuAu crystal.

The density of states at the Fermi level comes out at 7.93 states/eV per cell. For the calculated total energy, the calculation gives -5.1636 eV/atom. For the energy of formation from the pure elements, the calculation gives -0.07 eV per atom. The calculation puts the volume at 193 Å³/cell. Its energy relative to the lowest polymorph listed for this composition is 0.63 eV per formula unit.

The structure in CIF format:
```
data_TiCuAu
_chemical_formula_sum 'Ti4 Cu4 Au4'
_cell_length_a 4.4826
_cell_length_b 5.4522
_cell_length_c 7.8878
_cell_angle_alpha 90.00
_cell_angle_beta 90.00
_cell_angle_gamma 90.00
_space_group_name_H-M_alt 'I m m m'
_space_group_IT_number 71
_space_group_name_Hall '-I 2 2'
loop_
_atom_site_label
_atom_site_type_symbol
_atom_site_fract_x
_atom_site_fract_y
_atom_site_fract_z
Ti1 Ti 0.0000 0.0000 0.1674
Cu1 Cu 0.0000 0.2622 0.5000
Au1 Au 0.0000 0.5000 0.1670
```



[9]
VASP calculation (PBE) on a relaxed TiCu2Au8 crystal.

The density of states at the Fermi level comes out at 9.71 states/eV per cell. For the calculated total energy, the calculation gives -3.9694 eV/atom. For the energy of formation from the pure elements, the calculation gives -0.12 eV per atom. The calculation puts the volume at 371 Å³/cell.

The structure in CIF format:
```
data_TiCu2Au8
_chemical_formula_sum 'Ti2 Cu4 Au16'
_cell_length_a 14.5167
_cell_length_b 4.1145
_cell_length_c 6.5260
_cell_angle_alpha 90.00
_cell_angle_beta 108.09
_cell_angle_gamma 90.00
_space_group_name_H-M_alt 'C 1 2/m 1'
_space_group_IT_number 12
_space_group_name_Hall '-C 2y'
loop_
_atom_site_label
_atom_site_type_symbol
_atom_site_fract_x
_atom_site_fract_y
_atom_site_fract_z
Ti1 Ti 0.0000 0.0000 0.0000
Cu1 Cu 0.2238 0.5000 0.6361
Au1 Au 0.0443 0.5000 0.7342
Au2 Au 0.1009 0.0000 0.4576
Au3 Au 0.1424 0.5000 0.1988
Au4 Au 0.1803 0.0000 0.9217
```



[10]
VASP calculation (PBE) on a relaxed TiCu2Au6 crystal.

The density of states at the Fermi level comes out at 8.04 states/eV per cell. For the calculated total energy, the calculation gives -4.0919 eV/atom. For the energy of formation from the pure elements, the calculation gives -0.12 eV per atom. The calculation puts the volume at 300 Å³/cell.

The structure in CIF format:
```
data_TiCu2Au6
_chemical_formula_sum 'Ti2 Cu4 Au12'
_cell_length_a 4.9001
_cell_length_b 7.6125
_cell_length_c 8.5621
_cell_angle_alpha 72.52
_cell_angle_beta 83.29
_cell_angle_gamma 80.84
_space_group_name_H-M_alt 'P -1'
_space_group_IT_number 2
_space_group_name_Hall '-P 1'
loop_
_atom_site_label
_atom_site_type_symbol
_atom_site_fract_x
_atom_site_fract_y
_atom_site_fract_z
Ti1 Ti 0.2204 0.3532 0.1217
Cu1 Cu 0.1366 0.9683 0.2197
Cu2 Cu 0.4592 0.3095 0.5532
Au1 Au 0.0219 0.1905 0.4444
Au2 Au 0.1120 0.5842 0.3407
Au3 Au 0.2276 0.7404 0.9992
Au4 Au 0.3128 0.1363 0.8935
Au5 Au 0.3365 0.5250 0.7778
Au6 Au 0.4303 0.9265 0.6687
```



[11]
VASP calculation (PBE) on a relaxed TiCuAu2 crystal.

The density of states at the Fermi level comes out at 2.40 states/eV per cell. For the calculated total energy, the calculation gives -4.8787 eV/atom. For the energy of formation from the pure elements, the calculation gives -0.24 eV per atom. The calculation puts the volume at 65 Å³/cell.

The structure in CIF format:
```
data_TiCuAu2
_chemical_formula_sum 'Ti1 Cu1 Au2'
_cell_length_a 3.1461
_cell_length_b 3.1461
_cell_length_c 6.5491
_cell_angle_alpha 90.00
_cell_angle_beta 90.00
_cell_angle_gamma 90.00
_space_group_name_H-M_alt 'P 4/m m m'
_space_group_IT_number 123
_space_group_name_Hall '-P 4 2'
loop_
_atom_site_label
_atom_site_type_symbol
_atom_site_fract_x
_atom_site_fract_y
_atom_site_fract_z
Ti1 Ti 0.0000 0.0000 0.0000
Cu1 Cu 0.0000 0.0000 0.5000
Au1 Au 0.5000 0.5000 0.2634
```



[12]
VASP calculation (PBE) on a relaxed Ti3Cu2Au4 crystal.

The density of states at the Fermi level comes out at 34.50 states/eV per cell. For the calculated total energy, the calculation gives -5.2229 eV/atom. For the energy of formation from the pure elements, the calculation gives -0.22 eV per atom. The calculation puts the volume at 590 Å³/cell.

The structure in CIF format:
```
data_Ti3Cu2Au4
_chemical_formula_sum 'Ti12 Cu8 Au16'
_cell_length_a 12.7261
_cell_length_b 9.9301
_cell_length_c 4.7477
_cell_angle_alpha 90.00
_cell_angle_beta 100.38
_cell_angle_gamma 90.00
_space_group_name_H-M_alt 'C 1 2/c 1'
_space_group_IT_number 15
_space_group_name_Hall '-C 2yc'
loop_
_atom_site_label
_atom_site_type_symbol
_atom_site_fract_x
_atom_site_fract_y
_atom_site_fract_z
Ti1 Ti 0.0000 0.1183 0.2500
Ti2 Ti 0.1699 0.3724 0.0837
Cu1 Cu 0.1029 0.1243 0.8057
Au1 Au 0.0582 0.3664 0.5299
Au2 Au 0.2135 0.1170 0.3552
```